Record 1
## Zn4Fe (PBE)

Data for a geometry-optimized Zn4Fe structure.

Unit cell a=5.635 b=5.635 c=5.635 alpha=90.00 beta=90.00 gamma=90.00
Positions (direct):
1 Zn 0.250 0.250 0.250
2 Zn 0.250 0.250 0.750
3 Zn 0.250 0.750 0.250
4 Zn 0.250 0.750 0.750
5 Zn 0.750 0.250 0.250
6 Zn 0.750 0.250 0.750
7 Zn 0.750 0.750 0.250
8 Zn 0.750 0.750 0.750
9 Fe 0.000 0.000 0.000
10 Fe 0.500 0.500 0.500

Calculated formation energy: 234 meV/atom
Space-group type: No. 229
Uncorrected energy: -24.78 eV for the cell shown
Energy above the most stable polymorph in this dataset: 0.847 eV/f.u.


Record 2
## Be6CrSi2 (PBE)

Data for a geometry-optimized Be6CrSi2 structure.

Unit cell a=4.127 b=7.599 c=7.376 alpha=90.00 beta=124.01 gamma=90.00
Positions (direct):
1 Be 0.030 0.221 0.326
2 Be 0.030 0.279 0.826
3 Be 0.310 0.681 0.001
4 Be 0.310 0.819 0.501
5 Be 0.377 0.220 0.673
6 Be 0.377 0.280 0.173
7 Be 0.623 0.720 0.827
8 Be 0.623 0.780 0.327
9 Be 0.690 0.181 0.499
10 Be 0.690 0.319 0.999
11 Be 0.970 0.721 0.174
12 Be 0.970 0.779 0.674
13 Cr 0.500 0.000 0.000
14 Cr 0.500 0.500 0.500
15 Si 0.198 0.000 0.198
16 Si 0.198 0.500 0.698
17 Si 0.802 0.000 0.802
18 Si 0.802 0.500 0.302

Space-group type: No. 14
E_form (uncorrected): 0.199 eV per atom
Uncorrected energy: -82.07 eV for the cell shown


Record 3
## SrScCl2 (PBE)

Data for a geometry-optimized SrScCl2 structure.

Unit cell a=3.727 b=3.727 c=7.358 alpha=90.00 beta=90.00 gamma=90.00
Positions (direct):
1 Sr 0.000 0.000 0.000
2 Sc 0.500 0.500 0.613
3 Cl 0.000 0.000 0.519
4 Cl 0.500 0.500 0.221

Space-group type: No. 99
E_form (uncorrected): -1.375 eV per atom
Uncorrected energy: -17.21 eV for the cell shown
Energy above the most stable polymorph in this dataset: 0.000 eV/f.u.


Record 4
## AgAsClO2 (PBE)

Data for a geometry-optimized AgAsClO2 structure.

Unit cell a=6.896 b=3.853 c=7.710 alpha=90.00 beta=112.52 gamma=90.00
Positions (direct):
1 Ag 0.219 0.250 0.473
2 Ag 0.781 0.750 0.527
3 As 0.120 0.250 0.916
4 As 0.880 0.750 0.084
5 Cl 0.414 0.750 0.680
6 Cl 0.586 0.250 0.320
7 O 0.048 0.750 0.939
8 O 0.062 0.750 0.325
9 O 0.938 0.250 0.675
10 O 0.952 0.250 0.061

Space-group type: No. 11
E_form (uncorrected): -0.659 eV per atom
Uncorrected energy: -45.11 eV for the cell shown


Record 5
## YBeP2 (PBE)

Data for a geometry-optimized YBeP2 structure.

Unit cell a=3.757 b=3.757 c=17.301 alpha=90.00 beta=90.00 gamma=120.00
Positions (direct):
1 Y 0.000 0.000 0.000
2 Y 0.333 0.667 0.667
3 Y 0.667 0.333 0.333
4 Be 0.000 0.000 0.821
5 Be 0.333 0.667 0.488
6 Be 0.667 0.333 0.154
7 P 0.000 0.000 0.229
8 P 0.000 0.000 0.434
9 P 0.333 0.667 0.100
10 P 0.333 0.667 0.896
11 P 0.667 0.333 0.562
12 P 0.667 0.333 0.767

Calculated formation energy: -425 meV/atom
Space-group type: No. 160
Uncorrected energy: -68.13 eV for the cell shown


Record 6
## KBeSi2 (PBE)

Data for a geometry-optimized KBeSi2 structure.

Unit cell a=3.102 b=3.102 c=27.317 alpha=90.00 beta=90.00 gamma=120.00
Positions (direct):
1 K 0.000 0.000 0.000
2 K 0.333 0.667 0.667
3 K 0.667 0.333 0.333
4 Be 0.000 0.000 0.226
5 Be 0.333 0.667 0.893
6 Be 0.667 0.333 0.560
7 Si 0.000 0.000 0.502
8 Si 0.000 0.000 0.769
9 Si 0.333 0.667 0.169
10 Si 0.333 0.667 0.436
11 Si 0.667 0.333 0.103
12 Si 0.667 0.333 0.836

Space-group type: No. 160
E_form (uncorrected): 0.690 eV per atom
Uncorrected energy: -38.73 eV for the cell shown


Record 7
## Rb3Cu2AuI9 (PBE)

Data for a geometry-optimized Rb3Cu2AuI9 structure.

Unit cell a=8.043 b=8.043 c=9.854 alpha=90.00 beta=90.00 gamma=120.00
Positions (direct):
1 Rb 0.000 0.000 0.000
2 Rb 0.333 0.667 0.672
3 Rb 0.667 0.333 0.328
4 Cu 0.333 0.667 0.159
5 Cu 0.667 0.333 0.841
6 Au 0.000 0.000 0.500
7 I 0.000 0.500 0.000
8 I 0.170 0.340 0.330
9 I 0.170 0.830 0.330
10 I 0.340 0.170 0.670
11 I 0.500 0.000 0.000
12 I 0.500 0.500 0.000
13 I 0.660 0.830 0.330
14 I 0.830 0.170 0.670
15 I 0.830 0.660 0.670

Space-group type: No. 164
E_form (uncorrected): -0.600 eV per atom
Uncorrected energy: -37.32 eV for the cell shown


Record 8
## CaCuAg2 (PBE)

Data for a geometry-optimized CaCuAg2 structure.

Unit cell a=3.835 b=4.657 c=8.877 alpha=90.00 beta=90.00 gamma=90.00
Positions (direct):
1 Ca 0.000 0.000 0.000
2 Ca 0.500 0.500 0.500
3 Cu 0.000 0.000 0.500
4 Cu 0.500 0.500 0.000
5 Ag 0.000 0.500 0.223
6 Ag 0.000 0.500 0.777
7 Ag 0.500 0.000 0.277
8 Ag 0.500 0.000 0.723

Calculated formation energy: -59 meV/atom
Space-group type: No. 71
Uncorrected energy: -24.07 eV for the cell shown
Energy above the most stable polymorph in this dataset: 0.178 eV/f.u.


Record 9
## KRb3Au3 (PBE)

Data for a geometry-optimized KRb3Au3 structure.

Unit cell a=9.510 b=9.510 c=9.510 alpha=90.00 beta=90.00 gamma=90.00
Positions (direct):
1 K 0.000 0.000 0.000
2 K 0.500 0.500 0.500
3 Rb 0.000 0.250 0.500
4 Rb 0.000 0.750 0.500
5 Rb 0.250 0.500 0.000
6 Rb 0.500 0.000 0.250
7 Rb 0.500 0.000 0.750
8 Rb 0.750 0.500 0.000
9 Au 0.000 0.500 0.250
10 Au 0.000 0.500 0.750
11 Au 0.250 0.000 0.500
12 Au 0.500 0.250 0.000
13 Au 0.500 0.750 0.000
14 Au 0.750 0.000 0.500

Calculated formation energy: -82 meV/atom
Space-group type: No. 223
Uncorrected energy: -28.81 eV for the cell shown
Energy above the most stable polymorph in this dataset: 1.096 eV/f.u.


Record 10
## Ba7Bi3O2 (PBE)

Data for a geometry-optimized Ba7Bi3O2 structure.

Unit cell a=5.475 b=5.121 c=16.305 alpha=90.00 beta=99.62 gamma=90.00
Positions (direct):
1 Ba 0.000 0.000 0.000
2 Ba 0.112 0.500 0.222
3 Ba 0.296 0.500 0.592
4 Ba 0.396 0.000 0.793
5 Ba 0.604 0.000 0.207
6 Ba 0.704 0.500 0.408
7 Ba 0.888 0.500 0.778
8 Bi 0.187 0.000 0.374
9 Bi 0.500 0.500 0.000
10 Bi 0.813 0.000 0.626
11 O 0.372 0.500 0.746
12 O 0.628 0.500 0.254

Space-group type: No. 10
E_form (uncorrected): -1.321 eV per atom
Uncorrected energy: -50.86 eV for the cell shown
Energy above the most stable polymorph in this dataset: 1.310 eV/f.u.


Record 11
## ThAl11Ru (PBE)

Data for a geometry-optimized ThAl11Ru structure.

Unit cell a=6.842 b=6.842 c=7.225 alpha=97.73 beta=97.73 gamma=135.12
Positions (direct):
1 Th 0.000 0.000 0.000
2 Al 0.000 0.000 0.500
3 Al 0.000 0.500 0.000
4 Al 0.015 0.364 0.360
5 Al 0.281 0.499 0.772
6 Al 0.364 0.015 0.360
7 Al 0.499 0.281 0.772
8 Al 0.500 0.000 0.000
9 Al 0.501 0.719 0.228
10 Al 0.636 0.985 0.640
11 Al 0.719 0.501 0.228
12 Al 0.985 0.636 0.640
13 Ru 0.500 0.500 0.500

Calculated formation energy: -278 meV/atom
Space-group type: No. 12
Uncorrected energy: -61.48 eV for the cell shown


Record 12
## SiRuPb (PBE)

Data for a geometry-optimized SiRuPb structure.

Unit cell a=6.220 b=6.220 c=6.220 alpha=90.00 beta=90.00 gamma=90.00
Positions (direct):
1 Si 0.000 0.000 0.000
2 Si 0.000 0.500 0.500
3 Si 0.500 0.000 0.500
4 Si 0.500 0.500 0.000
5 Ru 0.250 0.250 0.750
6 Ru 0.250 0.750 0.250
7 Ru 0.750 0.250 0.250
8 Ru 0.750 0.750 0.750
9 Pb 0.000 0.000 0.500
10 Pb 0.000 0.500 0.000
11 Pb 0.500 0.000 0.000
12 Pb 0.500 0.500 0.500

Space-group type: No. 216
E_form (uncorrected): 0.330 eV per atom
Uncorrected energy: -69.67 eV for the cell shown


Record 13
## BaTeCl6 (PBE)

Data for a geometry-optimized BaTeCl6 structure.

Unit cell a=7.801 b=11.478 c=6.265 alpha=90.00 beta=106.55 gamma=90.00
Positions (direct):
1 Ba 0.000 0.000 0.000
2 Ba 0.500 0.500 0.000
3 Te 0.000 0.500 0.500
4 Te 0.500 0.000 0.500
5 Cl 0.157 0.344 0.783
6 Cl 0.157 0.656 0.783
7 Cl 0.215 0.000 0.627
8 Cl 0.285 0.500 0.373
9 Cl 0.343 0.156 0.217
10 Cl 0.343 0.844 0.217
11 Cl 0.657 0.156 0.783
12 Cl 0.657 0.844 0.783
13 Cl 0.715 0.500 0.627
14 Cl 0.785 0.000 0.373
15 Cl 0.843 0.344 0.217
16 Cl 0.843 0.656 0.217

Space-group type: No. 12
E_form (uncorrected): -1.274 eV per atom
Uncorrected energy: -52.67 eV for the cell shown


Record 14
## Rb2LaTa6Br15O3 (PBE)

Data for a geometry-optimized Rb2LaTa6Br15O3 structure.

Unit cell a=9.613 b=9.613 c=18.551 alpha=90.00 beta=90.00 gamma=120.00
Positions (direct):
1 Rb 0.333 0.667 0.035
2 Rb 0.333 0.667 0.465
3 Rb 0.667 0.333 0.535
4 Rb 0.667 0.333 0.965
5 La 0.333 0.667 0.750
6 La 0.667 0.333 0.250
7 Ta 0.016 0.189 0.687
8 Ta 0.016 0.828 0.813
9 Ta 0.172 0.189 0.813
10 Ta 0.172 0.984 0.687
11 Ta 0.189 0.016 0.187
12 Ta 0.189 0.172 0.313
13 Ta 0.811 0.828 0.687
14 Ta 0.811 0.984 0.813
15 Ta 0.828 0.016 0.313
16 Ta 0.828 0.811 0.187
17 Ta 0.984 0.172 0.187
18 Ta 0.984 0.811 0.313
19 Br 0.019 0.222 0.411
20 Br 0.019 0.797 0.089
21 Br 0.071 0.468 0.618
22 Br 0.071 0.603 0.882
23 Br 0.203 0.222 0.089
24 Br 0.203 0.981 0.411
25 Br 0.213 0.427 0.250
26 Br 0.213 0.787 0.250
27 Br 0.222 0.019 0.911
28 Br 0.222 0.203 0.589
29 Br 0.397 0.468 0.882
30 Br 0.397 0.929 0.618
31 Br 0.427 0.213 0.750
32 Br 0.468 0.071 0.118
33 Br 0.468 0.397 0.382
34 Br 0.532 0.603 0.618
35 Br 0.532 0.929 0.882
36 Br 0.573 0.787 0.250
37 Br 0.603 0.071 0.382
38 Br 0.603 0.532 0.118
39 Br 0.778 0.797 0.411
40 Br 0.778 0.981 0.089
41 Br 0.787 0.213 0.750
42 Br 0.787 0.573 0.750
43 Br 0.797 0.019 0.589
44 Br 0.797 0.778 0.911
45 Br 0.929 0.397 0.118
46 Br 0.929 0.532 0.382
47 Br 0.981 0.203 0.911
48 Br 0.981 0.778 0.589
49 O 0.181 0.362 0.750
50 O 0.181 0.819 0.750
51 O 0.362 0.181 0.250
52 O 0.638 0.819 0.750
53 O 0.819 0.181 0.250
54 O 0.819 0.638 0.250

Space-group type: No. 163
E_form (uncorrected): -1.473 eV per atom
Uncorrected energy: -315.45 eV for the cell shown


Record 15
## ThCo4Si (PBE)

Data for a geometry-optimized ThCo4Si structure.

Unit cell a=10.153 b=10.153 c=10.153 alpha=154.39 beta=154.39 gamma=36.53
Positions (direct):
1 Th 0.375 0.625 0.750
2 Th 0.625 0.375 0.250
3 Co 0.226 0.229 0.503
4 Co 0.226 0.723 0.997
5 Co 0.229 0.226 0.003
6 Co 0.277 0.774 0.503
7 Co 0.723 0.226 0.497
8 Co 0.771 0.774 0.997
9 Co 0.774 0.277 0.003
10 Co 0.774 0.771 0.497
11 Si 0.125 0.875 0.250
12 Si 0.875 0.125 0.750

Space-group type: No. 141
E_form (uncorrected): -0.001 eV per atom
Uncorrected energy: -82.54 eV for the cell shown


Record 16
## PmY3Tm5 (PBE)

Data for a geometry-optimized PmY3Tm5 structure.

Unit cell a=9.607 b=9.607 c=11.291 alpha=111.42 beta=111.42 gamma=38.37
Positions (direct):
1 Pm 0.137 0.863 0.750
2 Pm 0.863 0.137 0.250
3 Y 0.000 0.000 0.000
4 Y 0.000 0.000 0.500
5 Y 0.006 0.654 0.131
6 Y 0.346 0.994 0.369
7 Y 0.654 0.006 0.631
8 Y 0.994 0.346 0.869
9 Tm 0.130 0.532 0.787
10 Tm 0.149 0.528 0.488
11 Tm 0.393 0.607 0.250
12 Tm 0.468 0.870 0.713
13 Tm 0.472 0.851 0.012
14 Tm 0.528 0.149 0.988
15 Tm 0.532 0.130 0.287
16 Tm 0.607 0.393 0.750
17 Tm 0.851 0.472 0.512
18 Tm 0.870 0.468 0.213

Calculated formation energy: 314 meV/atom
Space-group type: No. 15
Uncorrected energy: -87.35 eV for the cell shown
Energy above the most stable polymorph in this dataset: 0.000 eV/f.u.


Record 17
## NdEr2Sc8 (PBE)

Data for a geometry-optimized NdEr2Sc8 structure.

Unit cell a=9.206 b=9.206 c=5.471 alpha=107.27 beta=107.27 gamma=123.39
Positions (direct):
1 Nd 0.000 0.000 0.000
2 Er 0.310 0.690 0.500
3 Er 0.690 0.310 0.500
4 Sc 0.098 0.360 0.729
5 Sc 0.203 0.797 0.000
6 Sc 0.360 0.098 0.729
7 Sc 0.499 0.499 0.255
8 Sc 0.501 0.501 0.745
9 Sc 0.640 0.902 0.271
10 Sc 0.797 0.203 0.000
11 Sc 0.902 0.640 0.271

Calculated formation energy: 132 meV/atom
Space-group type: No. 12
Uncorrected energy: -63.10 eV for the cell shown


Record 18
## Cd2PtW (PBE)

Data for a geometry-optimized Cd2PtW structure.

Unit cell a=2.798 b=4.989 c=10.982 alpha=90.00 beta=90.00 gamma=90.00
Positions (direct):
1 Cd 0.000 0.000 0.000
2 Cd 0.000 0.500 0.198
3 Cd 0.500 0.000 0.698
4 Cd 0.500 0.500 0.500
5 Pt 0.000 0.500 0.749
6 Pt 0.500 0.000 0.249
7 W 0.000 0.000 0.450
8 W 0.500 0.500 0.950

Calculated formation energy: 298 meV/atom
Space-group type: No. 44
Uncorrected energy: -39.27 eV for the cell shown
Energy above the most stable polymorph in this dataset: 1.010 eV/f.u.


Record 19
## LiY2As (PBE)

Data for a geometry-optimized LiY2As structure.

Unit cell a=4.187 b=4.187 c=10.804 alpha=90.00 beta=90.00 gamma=90.00
Positions (direct):
1 Li 0.000 0.000 0.000
2 Li 0.500 0.500 0.500
3 Y 0.000 0.000 0.500
4 Y 0.000 0.500 0.750
5 Y 0.500 0.000 0.250
6 Y 0.500 0.500 0.000
7 As 0.000 0.500 0.250
8 As 0.500 0.000 0.750

Calculated formation energy: -515 meV/atom
Space-group type: No. 119
Uncorrected energy: -43.10 eV for the cell shown


Record 20
## DyBiPdAu (PBE)

Data for a geometry-optimized DyBiPdAu structure.

Unit cell a=7.075 b=7.075 c=7.075 alpha=90.00 beta=90.00 gamma=90.00
Positions (direct):
1 Dy 0.000 0.000 0.000
2 Dy 0.000 0.500 0.500
3 Dy 0.500 0.000 0.500
4 Dy 0.500 0.500 0.000
5 Bi 0.000 0.000 0.500
6 Bi 0.000 0.500 0.000
7 Bi 0.500 0.000 0.000
8 Bi 0.500 0.500 0.500
9 Pd 0.250 0.250 0.250
10 Pd 0.250 0.750 0.750
11 Pd 0.750 0.250 0.750
12 Pd 0.750 0.750 0.250
13 Au 0.250 0.250 0.750
14 Au 0.250 0.750 0.250
15 Au 0.750 0.250 0.250
16 Au 0.750 0.750 0.750

Calculated formation energy: -628 meV/atom
Space-group type: No. 216
Uncorrected energy: -77.86 eV for the cell shown